Compound: AlCuTcNi
Source: OQMD via LeMat-Bulk
Functional: PBE
Structure: optimized geometry

## Properties
The calculation puts the total magnetic moment at 2.0 μB per formula unit. As for the total energy: -5.911 eV/atom. The density comes out at 7.9 g cm⁻³.

a = 4.183 Å, b = 4.183 Å, c = 4.183 Å
α = 60.00°, β = 60.00°, γ = 60.00°
Sites, in units of the cell vectors:
Cu 0.750 0.750 0.750
Tc 0.250 0.250 0.250
Al 0.000 0.000 0.000
Ni 0.500 0.500 0.500